Computed, not measured: a relaxed NdY2PbC crystal at the GGA-PBE level of DFT.

POSCAR file:
```
NdY2PbC
1.0
4.938 0.000 0.000
0.000 4.938 0.000
0.000 0.000 5.137
Nd Y Pb C
1 2 1 1
Direct
0.000 0.000 0.000
0.000 0.500 0.500
0.500 0.000 0.500
0.500 0.500 0.000
0.000 0.000 0.500
```

Total moment: 0.000 μB per cell
ΔE_f: -0.507 eV/atom
Space-group type: P4/mmm (123)
E: -33.2 eV per cell
Volume: 125.26 Å³ per cell

***

Computed, not measured: a relaxed Nd12Pd3C5 crystal at the GGA-PBE level of DFT.

POSCAR file:
```
Nd12Pd3C5
1.0
-8.046 8.046 8.046
8.046 -8.046 8.046
8.046 8.046 -8.046
Nd Pd C
48 12 20
Direct
0.025 0.205 0.119
0.025 0.320 0.906
0.086 0.705 0.680
0.086 0.881 0.406
0.094 0.619 0.414
0.094 0.975 0.680
0.119 0.025 0.205
0.119 0.594 0.914
0.180 0.205 0.586
0.180 0.475 0.594
0.205 0.119 0.025
0.205 0.586 0.180
0.295 0.320 0.914
0.295 0.475 0.381
0.320 0.906 0.025
0.320 0.914 0.295
0.381 0.295 0.475
0.381 0.586 0.906
0.406 0.086 0.881
0.406 0.820 0.525
0.414 0.094 0.619
0.414 0.820 0.795
0.475 0.381 0.295
0.475 0.594 0.180
0.525 0.406 0.820
0.525 0.619 0.705
0.586 0.180 0.205
0.586 0.906 0.381
0.594 0.180 0.475
0.594 0.914 0.119
0.619 0.414 0.094
0.619 0.705 0.525
0.680 0.086 0.705
0.680 0.094 0.975
0.705 0.525 0.619
0.705 0.680 0.086
0.795 0.414 0.820
0.795 0.881 0.975
0.820 0.525 0.406
0.820 0.795 0.414
0.881 0.406 0.086
0.881 0.975 0.795
0.906 0.025 0.320
0.906 0.381 0.586
0.914 0.119 0.594
0.914 0.295 0.320
0.975 0.680 0.094
0.975 0.795 0.881
0.125 0.250 0.375
0.125 0.375 0.750
0.250 0.375 0.125
0.250 0.875 0.625
0.375 0.125 0.250
0.375 0.750 0.125
0.625 0.250 0.875
0.625 0.875 0.750
0.750 0.125 0.375
0.750 0.625 0.875
0.875 0.625 0.250
0.875 0.750 0.625
0.000 0.000 0.000
0.000 0.000 0.500
0.000 0.500 0.000
0.000 0.500 0.500
0.125 0.750 0.875
0.125 0.875 0.250
0.250 0.125 0.875
0.250 0.625 0.375
0.375 0.250 0.625
0.375 0.625 0.750
0.500 0.000 0.000
0.500 0.000 0.500
0.500 0.500 0.000
0.500 0.500 0.500
0.625 0.375 0.250
0.625 0.750 0.375
0.750 0.375 0.625
0.750 0.875 0.125
0.875 0.125 0.750
0.875 0.250 0.125
```

Total moment: 0.000 μB per cell
ΔE_f: -0.120 eV/atom
Space-group type: Ia-3d (230)
E: -485.2 eV per cell
Volume: 2083.49 Å³ per cell

***

Computed, not measured: a relaxed Nd2PdC crystal at the GGA-PBE level of DFT.

POSCAR file:
```
Nd2PdC
1.0
3.808 0.000 0.000
-1.904 3.298 0.000
0.000 0.000 21.309
Nd Pd C
6 3 3
Direct
0.000 0.000 0.235
0.000 0.000 0.765
0.333 0.667 0.432
0.333 0.667 0.901
0.667 0.333 0.099
0.667 0.333 0.568
0.000 0.000 0.000
0.333 0.667 0.667
0.667 0.333 0.333
0.000 0.000 0.500
0.333 0.667 0.167
0.667 0.333 0.833
```

Total moment: 0.000 μB per cell
ΔE_f: -0.282 eV/atom
Space-group type: R-3m (166)
E: -75.2 eV per cell
Volume: 267.65 Å³ per cell

***

Computed, not measured: a relaxed PmNd2C crystal at the GGA-PBE level of DFT.

POSCAR file:
```
PmNd2C
1.0
3.674 0.000 0.000
0.000 8.819 0.000
-1.836 0.000 6.298
Pm Nd C
2 4 2
Direct
0.096 0.250 0.191
0.904 0.750 0.809
0.346 0.075 0.692
0.346 0.425 0.692
0.654 0.575 0.308
0.654 0.925 0.308
0.267 0.750 0.534
0.733 0.250 0.466
```

Total moment: 0.000 μB per cell
ΔE to the lowest computed polymorph: 0.380 eV per formula unit
ΔE_f: 0.136 eV/atom
Space-group type: P2_1/m (11)
E: -45.9 eV per cell
Volume: 204.05 Å³ per cell

***

Question: The lowest ΔE_f belongs to which entry?
Answer: NdY2PbC